(1)
A relaxed Tb5Sm2Sc2 crystal. Source: Alexandria, functional PBE-GGA.

The value obtained for the formation energy is 0.039 eV/atom. As for the space group: No. 12. The value obtained for the distance to the lowest polymorph of the same formula is 0.0 meV per atom.

abc: 7.831 7.831 7.874
angles: 107.41 107.41 36.86
Sites, in units of the cell vectors:
1 Tb 0.000 0.000 0.000
2 Tb 0.220 0.220 0.335
3 Tb 0.335 0.335 0.998
4 Tb 0.665 0.665 0.002
5 Tb 0.780 0.780 0.665
6 Sm 0.108 0.108 0.665
7 Sm 0.892 0.892 0.335
8 Sc 0.444 0.444 0.663
9 Sc 0.556 0.556 0.337

=====

(2)
A relaxed AlTlTeS4 crystal. Source: Alexandria, functional PBE-GGA.

The calculated total energy comes out at -4.07 eV/atom. As for the space group: No. 11.

abc: 6.742 7.052 8.601
angles: 90.00 107.65 90.00
Sites, in units of the cell vectors:
1 Al 0.246 0.250 0.167
2 Al 0.754 0.750 0.833
3 Tl 0.272 0.750 0.456
4 Tl 0.728 0.250 0.544
5 Te 0.270 0.750 0.988
6 Te 0.730 0.250 0.012
7 S 0.011 0.250 0.302
8 S 0.025 0.250 0.906
9 S 0.469 0.002 0.211
10 S 0.469 0.498 0.211
11 S 0.531 0.502 0.789
12 S 0.531 0.998 0.789
13 S 0.975 0.750 0.094
14 S 0.989 0.750 0.698

=====

(3)
A relaxed Re2SiPt crystal. Source: Alexandria, functional PBE-GGA.

The calculated total energy comes out at -9.21 eV/atom. As for the space group: No. 1.

abc: 5.341 5.362 5.398
angles: 97.05 115.49 115.57
Sites, in units of the cell vectors:
1 Re 0.000 0.000 0.000
2 Re 0.026 0.625 0.602
3 Re 0.531 0.593 0.098
4 Re 0.959 0.479 0.042
5 Si 0.026 0.080 0.559
6 Si 0.527 0.065 0.049
7 Pt 0.434 0.477 0.540
8 Pt 0.518 0.011 0.494